Compound: BeTc2Rh
Source: Alexandria
Functional: GGA-PBE
Structure: optimized geometry

space-group type	I-42d
magnetization	0.000	Bohr magnetons per cell
energy relative to the elements	0.342	eV per atom
energy	-7.61	eV/atom

a b c (Å): 3.525 3.525 18.318
angles (deg): 90.00 90.00 90.00
Positions (direct):
Be1 0.000 0.000 0.000
Be2 0.000 0.500 0.250
Be3 0.500 0.000 0.750
Be4 0.500 0.500 0.500
Tc1 0.224 0.250 0.125
Tc2 0.250 0.724 0.375
Tc3 0.250 0.776 0.875
Tc4 0.276 0.250 0.625
Tc5 0.724 0.750 0.625
Tc6 0.750 0.224 0.875
Tc7 0.750 0.276 0.375
Tc8 0.776 0.750 0.125
Rh1 0.000 0.000 0.500
Rh2 0.000 0.500 0.750
Rh3 0.500 0.000 0.250
Rh4 0.500 0.500 0.000


Compound: BeTcRh2
Source: Alexandria
Functional: GGA-PBE
Structure: optimized geometry

space-group type	I4/mmm
magnetization	1.925	Bohr magnetons per cell
energy relative to the elements	-0.105	eV per atom
energy	-7.30	eV/atom

a b c (Å): 3.775 3.775 7.389
angles (deg): 90.00 90.00 90.00
Positions (direct):
Be1 0.000 0.000 0.000
Be2 0.500 0.500 0.500
Tc1 0.000 0.000 0.500
Tc2 0.500 0.500 0.000
Rh1 0.000 0.500 0.250
Rh2 0.000 0.500 0.750
Rh3 0.500 0.000 0.250
Rh4 0.500 0.000 0.750


Compound: BeTcRh2
Source: Alexandria
Functional: GGA-PBE
Structure: optimized geometry

space-group type	F-43m
magnetization	2.231	Bohr magnetons per cell
energy relative to the elements	0.107	eV per atom
energy	-7.09	eV/atom

a b c (Å): 5.963 5.963 5.963
angles (deg): 90.00 90.00 90.00
Positions (direct):
Be1 0.000 0.000 0.000
Be2 0.000 0.500 0.500
Be3 0.500 0.000 0.500
Be4 0.500 0.500 0.000
Tc1 0.250 0.250 0.250
Tc2 0.250 0.750 0.750
Tc3 0.750 0.250 0.750
Tc4 0.750 0.750 0.250
Rh1 0.000 0.000 0.500
Rh2 0.000 0.500 0.000
Rh3 0.250 0.250 0.750
Rh4 0.250 0.750 0.250
Rh5 0.500 0.000 0.000
Rh6 0.500 0.500 0.500
Rh7 0.750 0.250 0.250
Rh8 0.750 0.750 0.750


Compound: Be2TcRh2
Source: Alexandria
Functional: GGA-PBE
Structure: optimized geometry

space-group type	P4/mbm
distance to the lowest polymorph of the same formula	0	meV/atom
magnetization	0.000	Bohr magnetons per cell
energy relative to the elements	-0.363	eV per atom
energy	-6.87	eV/atom

a b c (Å): 6.482 6.482 2.763
angles (deg): 90.00 90.00 90.00
Positions (direct):
Be1 0.127 0.373 0.000
Be2 0.373 0.873 0.000
Be3 0.627 0.127 0.000
Be4 0.873 0.627 0.000
Tc1 0.000 0.000 0.000
Tc2 0.500 0.500 0.000
Rh1 0.167 0.667 0.500
Rh2 0.333 0.167 0.500
Rh3 0.667 0.833 0.500
Rh4 0.833 0.333 0.500


Compound: BeTcRh
Source: Alexandria
Functional: GGA-PBE
Structure: optimized geometry

space-group type	C2/m
distance to the lowest polymorph of the same formula	88	meV/atom
magnetization	0.000	Bohr magnetons per cell
energy relative to the elements	-0.222	eV per atom
energy	-7.37	eV/atom

a b c (Å): 9.792 2.803 5.598
angles (deg): 90.00 106.79 90.00
Positions (direct):
Be1 0.177 0.000 0.053
Be2 0.323 0.500 0.947
Be3 0.677 0.500 0.053
Be4 0.823 0.000 0.947
Tc1 0.022 0.500 0.224
Tc2 0.478 0.000 0.776
Tc3 0.522 0.000 0.224
Tc4 0.978 0.500 0.776
Rh1 0.180 0.000 0.641
Rh2 0.320 0.500 0.359
Rh3 0.680 0.500 0.641
Rh4 0.820 0.000 0.359


Compound: BeTcRh
Source: Alexandria
Functional: GGA-PBE
Structure: optimized geometry

space-group type	Cmmm
distance to the lowest polymorph of the same formula	19	meV/atom
magnetization	0.000	Bohr magnetons per cell
energy relative to the elements	-0.292	eV per atom
energy	-7.44	eV/atom

a b c (Å): 3.985 9.111 4.014
angles (deg): 90.00 90.00 90.00
Positions (direct):
Be1 0.000 0.000 0.000
Be2 0.000 0.500 0.500
Be3 0.500 0.000 0.500
Be4 0.500 0.500 0.000
Tc1 0.000 0.159 0.500
Tc2 0.000 0.841 0.500
Tc3 0.500 0.341 0.500
Tc4 0.500 0.659 0.500
Rh1 0.000 0.349 0.000
Rh2 0.000 0.651 0.000
Rh3 0.500 0.151 0.000
Rh4 0.500 0.849 0.000


Compound: BeTcRh
Source: Alexandria
Functional: GGA-PBE
Structure: optimized geometry

space-group type	Ima2
distance to the lowest polymorph of the same formula	139	meV/atom
magnetization	0.000	Bohr magnetons per cell
energy relative to the elements	-0.171	eV per atom
energy	-7.32	eV/atom

a b c (Å): 4.846 7.043 4.426
angles (deg): 90.00 90.00 90.00
Positions (direct):
Be1 0.250 0.177 0.000
Be2 0.250 0.323 0.500
Be3 0.750 0.677 0.500
Be4 0.750 0.823 0.000
Tc1 0.000 0.000 0.499
Tc2 0.000 0.500 0.999
Tc3 0.500 0.000 0.499
Tc4 0.500 0.500 0.999
Rh1 0.250 0.652 0.499
Rh2 0.250 0.848 0.999
Rh3 0.750 0.152 0.999
Rh4 0.750 0.348 0.499


Compound: Be2Tc2Rh
Source: Alexandria
Functional: GGA-PBE
Structure: optimized geometry

space-group type	I4/mmm
distance to the lowest polymorph of the same formula	677	meV/atom
magnetization	0.000	Bohr magnetons per cell
energy relative to the elements	0.479	eV per atom
energy	-6.63	eV/atom

a b c (Å): 4.163 4.163 7.619
angles (deg): 90.00 90.00 90.00
Positions (direct):
Be1 0.000 0.500 0.250
Be2 0.000 0.500 0.750
Be3 0.500 0.000 0.250
Be4 0.500 0.000 0.750
Tc1 0.000 0.000 0.146
Tc2 0.000 0.000 0.854
Tc3 0.500 0.500 0.354
Tc4 0.500 0.500 0.646
Rh1 0.000 0.000 0.500
Rh2 0.500 0.500 0.000


Compound: BeTc2Rh
Source: Alexandria
Functional: GGA-PBE
Structure: optimized geometry

space-group type	F-43m
magnetization	0.008	Bohr magnetons per cell
energy relative to the elements	0.028	eV per atom
energy	-7.92	eV/atom

a b c (Å): 5.972 5.972 5.972
angles (deg): 90.00 90.00 90.00
Positions (direct):
Be1 0.000 0.000 0.000
Be2 0.000 0.500 0.500
Be3 0.500 0.000 0.500
Be4 0.500 0.500 0.000
Tc1 0.000 0.000 0.500
Tc2 0.000 0.500 0.000
Tc3 0.250 0.250 0.250
Tc4 0.250 0.750 0.750
Tc5 0.500 0.000 0.000
Tc6 0.500 0.500 0.500
Tc7 0.750 0.250 0.750
Tc8 0.750 0.750 0.250
Rh1 0.250 0.250 0.750
Rh2 0.250 0.750 0.250
Rh3 0.750 0.250 0.250
Rh4 0.750 0.750 0.750


Compound: BeTc2Rh
Source: Alexandria
Functional: GGA-PBE
Structure: optimized geometry

space-group type	Pmmm
magnetization	0.000	Bohr magnetons per cell
energy relative to the elements	-0.079	eV per atom
energy	-8.03	eV/atom

a b c (Å): 2.716 3.927 4.979
angles (deg): 90.00 90.00 90.00
Positions (direct):
Be1 0.000 0.000 0.000
Tc1 0.500 0.500 0.228
Tc2 0.500 0.500 0.772
Rh1 0.000 0.000 0.500


Compound: BeTcRh
Source: Alexandria
Functional: GGA-PBE
Structure: optimized geometry

space-group type	Pmm2
distance to the lowest polymorph of the same formula	65	meV/atom
magnetization	0.000	Bohr magnetons per cell
energy relative to the elements	-0.245	eV per atom
energy	-7.39	eV/atom

a b c (Å): 2.768 3.952 6.794
angles (deg): 90.00 90.00 90.00
Positions (direct):
Be1 0.000 0.000 0.000
Be2 0.000 0.500 0.198
Tc1 0.000 0.500 0.544
Tc2 0.500 0.000 0.680
Rh1 0.500 0.000 0.289
Rh2 0.500 0.500 0.932


Compound: BeTcRh
Source: Alexandria
Functional: GGA-PBE
Structure: optimized geometry

space-group type	I4mm
distance to the lowest polymorph of the same formula	38	meV/atom
magnetization	0.001	Bohr magnetons per cell
energy relative to the elements	-0.272	eV per atom
energy	-7.42	eV/atom

a b c (Å): 2.757 2.757 9.562
angles (deg): 90.00 90.00 90.00
Positions (direct):
Be1 0.000 0.000 0.000
Be2 0.500 0.500 0.500
Tc1 0.000 0.000 0.337
Tc2 0.500 0.500 0.837
Rh1 0.000 0.000 0.643
Rh2 0.500 0.500 0.143